1.
Compound: Mn3TlF9
Source: Alexandria via LeMat-Bulk
Functional: PBE with a Hubbard U
Structure: relaxed

a = 7.6782 Å, b = 7.6782 Å, c = 3.9500 Å
α = 90.00°, β = 90.00°, γ = 120.00°
Fractional positions:
Mn1 0.0000 0.5000 0.0000
Mn2 0.5000 0.0000 0.0000
Mn3 0.5000 0.5000 0.0000
Tl1 0.0000 0.0000 0.5000
F1 0.0000 0.5000 0.5000
F2 0.2040 0.4080 0.0000
F3 0.2040 0.7960 0.0000
F4 0.4080 0.2040 0.0000
F5 0.5000 0.0000 0.5000
F6 0.5000 0.5000 0.5000
F7 0.5920 0.7960 0.0000
F8 0.7960 0.2040 0.0000
F9 0.7960 0.5920 0.0000

Volume   15.51 Å³ per atom
Magnetic moment   13.00 Bohr magnetons per cell
Electronic total energy   -73.3 eV/cell

2.
Compound: Mn3TlF
Source: Alexandria via LeMat-Bulk
Functional: PBE with a Hubbard U
Structure: relaxed

a = 4.6182 Å, b = 4.6182 Å, c = 4.6182 Å
α = 90.00°, β = 90.00°, γ = 90.00°
Fractional positions:
Mn1 0.0000 0.0000 0.5000
Mn2 0.0000 0.5000 0.0000
Mn3 0.5000 0.0000 0.0000
Tl1 0.5000 0.5000 0.5000
F1 0.0000 0.0000 0.0000

Volume   19.70 Å³ per atom
Magnetic moment   14.52 Bohr magnetons per cell
Excess energy over the best structure of this formula in the dataset   0 meV/atom

3.
Compound: MnTl2F
Source: Alexandria via LeMat-Bulk
Functional: PBE with a Hubbard U
Structure: relaxed

a = 7.1237 Å, b = 7.1237 Å, c = 7.1237 Å
α = 90.00°, β = 90.00°, γ = 90.00°
Fractional positions:
Mn1 0.0000 0.0000 0.0000
Mn2 0.0000 0.5000 0.5000
Mn3 0.5000 0.0000 0.5000
Mn4 0.5000 0.5000 0.0000
Tl1 0.2500 0.2500 0.2500
Tl2 0.2500 0.2500 0.7500
Tl3 0.2500 0.7500 0.2500
Tl4 0.2500 0.7500 0.7500
Tl5 0.7500 0.2500 0.2500
Tl6 0.7500 0.2500 0.7500
Tl7 0.7500 0.7500 0.2500
Tl8 0.7500 0.7500 0.7500
F1 0.0000 0.0000 0.5000
F2 0.0000 0.5000 0.0000
F3 0.5000 0.0000 0.0000
F4 0.5000 0.5000 0.5000

Volume   22.59 Å³ per atom
Magnetic moment   18.14 Bohr magnetons per cell
Excess energy over the best structure of this formula in the dataset   66 meV/atom

4.
Compound: Mn3Tl4F10
Source: Alexandria via LeMat-Bulk
Functional: PBE with a Hubbard U
Structure: relaxed

a = 15.9120 Å, b = 15.9120 Å, c = 15.9120 Å
α = 164.46°, β = 164.46°, γ = 22.05°
Fractional positions:
Mn1 0.0000 0.0000 0.0000
Mn2 0.1385 0.1385 0.0000
Mn3 0.8615 0.8615 0.0000
Tl1 0.2955 0.2955 0.0000
Tl2 0.4310 0.4310 0.0000
Tl3 0.5690 0.5690 0.0000
Tl4 0.7045 0.7045 0.0000
F1 0.0000 0.5000 0.5000
F2 0.0694 0.0694 0.0000
F3 0.1380 0.6380 0.5000
F4 0.2060 0.2060 0.0000
F5 0.3620 0.8620 0.5000
F6 0.5000 0.0000 0.5000
F7 0.6380 0.1380 0.5000
F8 0.7940 0.7940 0.0000
F9 0.8620 0.3620 0.5000
F10 0.9306 0.9306 0.0000

Volume   17.02 Å³ per atom
Magnetic moment   3.00 Bohr magnetons per cell
Electronic total energy   -82.8 eV/cell

5.
Compound: Mn2Tl2F
Source: Alexandria via LeMat-Bulk
Functional: PBE with a Hubbard U
Structure: relaxed

a = 6.0041 Å, b = 6.0041 Å, c = 6.9913 Å
α = 90.00°, β = 90.00°, γ = 90.00°
Fractional positions:
Mn1 0.0000 0.0000 0.2126
Mn2 0.0000 0.0000 0.7874
Mn3 0.5000 0.5000 0.2874
Mn4 0.5000 0.5000 0.7126
Tl1 0.0000 0.5000 0.2500
Tl2 0.0000 0.5000 0.7500
Tl3 0.5000 0.0000 0.2500
Tl4 0.5000 0.0000 0.7500
F1 0.0000 0.0000 0.5000
F2 0.5000 0.5000 0.0000

Volume   25.20 Å³ per atom
Magnetic moment   18.58 Bohr magnetons per cell
Excess energy over the best structure of this formula in the dataset   106 meV/atom

6.
Compound: Mn2Tl3F9
Source: Alexandria via LeMat-Bulk
Functional: PBE with a Hubbard U
Structure: relaxed

a = 6.1578 Å, b = 6.1578 Å, c = 7.7280 Å
α = 95.57°, β = 95.57°, γ = 55.67°
Fractional positions:
Mn1 0.1652 0.1652 0.3493
Mn2 0.8348 0.8348 0.6507
Tl1 0.1608 0.1608 0.8746
Tl2 0.5000 0.5000 0.5000
Tl3 0.8392 0.8392 0.1254
F1 0.0000 0.0000 0.5000
F2 0.0000 0.5000 0.5000
F3 0.1420 0.6862 0.7906
F4 0.3109 0.3109 0.2069
F5 0.3138 0.8580 0.2094
F6 0.5000 0.0000 0.5000
F7 0.6862 0.1420 0.7906
F8 0.6891 0.6891 0.7931
F9 0.8580 0.3138 0.2094

Volume   17.18 Å³ per atom
Magnetic moment   7.99 Bohr magnetons per cell
Electronic total energy   -69.1 eV/cell

7.
Compound: Mn3Tl5F12
Source: Alexandria via LeMat-Bulk
Functional: PBE with a Hubbard U
Structure: relaxed

a = 11.1726 Å, b = 11.1726 Å, c = 3.4313 Å
α = 90.00°, β = 90.00°, γ = 120.00°
Fractional positions:
Mn1 0.0000 0.3425 0.0000
Mn2 0.3425 0.0000 0.0000
Mn3 0.6575 0.6575 0.0000
Tl1 0.0000 0.7202 0.5000
Tl2 0.2798 0.2798 0.5000
Tl3 0.3333 0.6667 0.5000
Tl4 0.6667 0.3333 0.5000
Tl5 0.7202 0.0000 0.5000
F1 0.0000 0.2223 0.5000
F2 0.0000 0.4631 0.5000
F3 0.2063 0.4366 0.0000
F4 0.2223 0.0000 0.5000
F5 0.2303 0.7937 0.0000
F6 0.4366 0.2063 0.0000
F7 0.4631 0.0000 0.5000
F8 0.5369 0.5369 0.5000
F9 0.5634 0.7697 0.0000
F10 0.7697 0.5634 0.0000
F11 0.7777 0.7777 0.5000
F12 0.7937 0.2303 0.0000

Volume   18.55 Å³ per atom
Magnetic moment   14.00 Bohr magnetons per cell
Electronic total energy   -100.2 eV/cell

8.
Compound: Mn2TlF8
Source: Alexandria via LeMat-Bulk
Functional: PBE with a Hubbard U
Structure: relaxed

a = 6.8153 Å, b = 6.8153 Å, c = 3.9925 Å
α = 90.00°, β = 90.00°, γ = 120.00°
Fractional positions:
Mn1 0.3333 0.6667 0.2470
Mn2 0.6667 0.3333 0.7530
Tl1 0.0000 0.0000 0.0000
F1 0.1643 0.8338 0.2570
F2 0.1662 0.3305 0.2570
F3 0.3305 0.1643 0.7430
F4 0.3333 0.6667 0.7482
F5 0.6667 0.3333 0.2518
F6 0.6695 0.8357 0.2570
F7 0.8338 0.6695 0.7430
F8 0.8357 0.1662 0.7430

Volume   14.60 Å³ per atom
Magnetic moment   9.00 Bohr magnetons per cell
Electronic total energy   -56.3 eV/cell

9.
Compound: MnTlF2
Source: Alexandria via LeMat-Bulk
Functional: PBE with a Hubbard U
Structure: relaxed

a = 5.8812 Å, b = 5.8812 Å, c = 10.4298 Å
α = 90.00°, β = 90.00°, γ = 90.00°
Fractional positions:
Mn1 0.0000 0.0000 0.0000
Mn2 0.0000 0.5000 0.2500
Mn3 0.5000 0.0000 0.7500
Mn4 0.5000 0.5000 0.5000
Tl1 0.0000 0.0000 0.5000
Tl2 0.0000 0.5000 0.7500
Tl3 0.5000 0.0000 0.2500
Tl4 0.5000 0.5000 0.0000
F1 0.0930 0.2500 0.1250
F2 0.2500 0.5930 0.3750
F3 0.2500 0.9070 0.8750
F4 0.4070 0.2500 0.6250
F5 0.5930 0.7500 0.6250
F6 0.7500 0.0930 0.8750
F7 0.7500 0.4070 0.3750
F8 0.9070 0.7500 0.1250

Volume   22.55 Å³ per atom
Magnetic moment   19.41 Bohr magnetons per cell
Excess energy over the best structure of this formula in the dataset   183 meV/atom

10.
Compound: MnTl2F
Source: Alexandria via LeMat-Bulk
Functional: PBE with a Hubbard U
Structure: relaxed

a = 8.1197 Å, b = 8.1197 Å, c = 6.0815 Å
α = 90.00°, β = 90.00°, γ = 90.00°
Fractional positions:
Mn1 0.0000 0.0000 0.0000
Mn2 0.0000 0.5000 0.2500
Mn3 0.5000 0.0000 0.7500
Mn4 0.5000 0.5000 0.5000
Tl1 0.1843 0.2500 0.6250
Tl2 0.2500 0.6843 0.8750
Tl3 0.2500 0.8157 0.3750
Tl4 0.3157 0.2500 0.1250
Tl5 0.6843 0.7500 0.1250
Tl6 0.7500 0.1843 0.3750
Tl7 0.7500 0.3157 0.8750
Tl8 0.8157 0.7500 0.6250
F1 0.0000 0.0000 0.5000
F2 0.0000 0.5000 0.7500
F3 0.5000 0.0000 0.2500
F4 0.5000 0.5000 0.0000

Volume   25.06 Å³ per atom
Magnetic moment   20.10 Bohr magnetons per cell
Excess energy over the best structure of this formula in the dataset   0 meV/atom

11.
Compound: MnTlF2
Source: Alexandria via LeMat-Bulk
Functional: PBE with a Hubbard U
Structure: relaxed

a = 3.3812 Å, b = 3.3812 Å, c = 25.0909 Å
α = 90.00°, β = 90.00°, γ = 120.00°
Fractional positions:
Mn1 0.0000 0.0000 0.0000
Mn2 0.3333 0.6667 0.6667
Mn3 0.6667 0.3333 0.3333
Tl1 0.0000 0.0000 0.5000
Tl2 0.3333 0.6667 0.1667
Tl3 0.6667 0.3333 0.8333
F1 0.0000 0.0000 0.3719
F2 0.0000 0.0000 0.6281
F3 0.3333 0.6667 0.0386
F4 0.3333 0.6667 0.2948
F5 0.6667 0.3333 0.7052
F6 0.6667 0.3333 0.9614

Volume   20.70 Å³ per atom
Magnetic moment   15.02 Bohr magnetons per cell
Excess energy over the best structure of this formula in the dataset   0 meV/atom

12.
Compound: MnTlF6
Source: Alexandria via LeMat-Bulk
Functional: PBE with a Hubbard U
Structure: relaxed

a = 5.4292 Å, b = 8.5895 Å, c = 5.2600 Å
α = 90.00°, β = 103.44°, γ = 90.00°
Fractional positions:
Mn1 0.0000 0.0000 0.0000
Mn2 0.5000 0.5000 0.0000
Tl1 0.0000 0.5000 0.5000
Tl2 0.5000 0.0000 0.5000
F1 0.1981 0.1492 0.2255
F2 0.1981 0.8508 0.2255
F3 0.2316 0.5000 0.2333
F4 0.2684 0.0000 0.7667
F5 0.3019 0.3508 0.7745
F6 0.3019 0.6492 0.7745
F7 0.6981 0.3508 0.2255
F8 0.6981 0.6492 0.2255
F9 0.7316 0.0000 0.2333
F10 0.7684 0.5000 0.7667
F11 0.8019 0.1492 0.7745
F12 0.8019 0.8508 0.7745

Volume   14.91 Å³ per atom
Magnetic moment   8.00 Bohr magnetons per cell
Electronic total energy   -75.3 eV/cell

Ordered calculated density results: 4.4 6.5 8.9 6.7 7.1 6.2 6.3 4.8 5.5 8.0 6.0 5.2; unit g/cm³.